A relaxed structure of SbRh2Se. Source: Alexandria, functional PBE-GGA.

Calculated values
The calculation puts the magnetic moment at 0.0 μB per formula unit. Its space-group type is No. 99. As for the formation energy (no corrections): -319 meV per atom.

abc: 3.5593 3.5593 5.6420
angles: 90.00 90.00 90.00
Positions (direct):
Sb1 0.0000 0.0000 0.0000
Rh1 0.0000 0.0000 0.5118
Rh2 0.5000 0.5000 0.8256
Se1 0.5000 0.5000 0.4011

=====

A relaxed structure of GeSbI2O. Source: Alexandria, functional PBE-GGA.

Calculated values
The value obtained for the offset from the most stable computed form is 1016 meV per atom. The calculation puts the magnetic moment at 0.0 μB per formula unit. Its space-group type is No. 123. As for the formation energy (no corrections): 932 meV per atom.

abc: 5.5184 5.5184 5.5750
angles: 90.00 90.00 90.00
Positions (direct):
Ge1 0.0000 0.0000 0.0000
Sb1 0.0000 0.0000 0.5000
I1 0.0000 0.5000 0.0000
I2 0.5000 0.0000 0.0000
O1 0.5000 0.5000 0.5000

=====

A relaxed structure of ScCu2Ru. Source: Alexandria, functional PBE-GGA.

Calculated values
The value obtained for the offset from the most stable computed form is 68 meV per atom. The calculation puts the magnetic moment at 0.0 μB per formula unit. Its space-group type is No. 99.

abc: 3.2160 3.2160 5.6922
angles: 90.00 90.00 90.00
Positions (direct):
Sc1 0.0000 0.0000 0.0000
Cu1 0.0000 0.0000 0.4985
Cu2 0.5000 0.5000 0.2894
Ru1 0.5000 0.5000 0.7450